(1)
Entry from Alexandria: crystalline ZrAlAu at its relaxed geometry (GGA-PBE).

Unit cell a=3.188 b=4.431 c=7.972 alpha=90.00 beta=90.00 gamma=90.00
Fractional coordinates of all 6 atoms:
Zr 0.000 0.000 0.000
Zr 0.000 0.500 0.500
Al 0.500 0.000 0.335
Al 0.500 0.000 0.665
Au 0.500 0.500 0.173
Au 0.500 0.500 0.827

Total magnetization (μB per formula unit): 0.00
Energy relative to the elements (eV per atom): -0.566
Uncorrected energy (eV/atom): -5.755
Space-group type: Pmmm, No. 47



(2)
Entry from Alexandria: crystalline TlReF6 at its relaxed geometry (GGA-PBE).

Unit cell a=5.266 b=5.266 c=5.293 alpha=97.80 beta=97.80 gamma=95.71
Fractional coordinates of all 8 atoms:
Tl 0.000 0.000 0.000
Re 0.500 0.500 0.500
F 0.242 0.585 0.243
F 0.246 0.246 0.579
F 0.415 0.758 0.757
F 0.585 0.242 0.243
F 0.754 0.754 0.421
F 0.758 0.415 0.757

Total magnetization (μB per formula unit): 2.00
Raw formation energy (eV per formula unit): -16.91
Uncorrected energy (eV/atom): -5.369
Space-group type: C2/m, No. 12
Relative energy among the computed polymorphs (meV per atom): 0



(3)
Entry from Alexandria: crystalline TmPu2Ga at its relaxed geometry (GGA-PBE).

Unit cell a=10.810 b=10.810 c=10.810 alpha=17.95 beta=17.95 gamma=17.95
Fractional coordinates of all 4 atoms:
Tm 0.000 0.000 0.000
Pu 0.242 0.242 0.242
Pu 0.758 0.758 0.758
Ga 0.500 0.500 0.500

Total magnetization (μB per formula unit): 11.78
Energy relative to the elements (eV per atom): 0.057
Uncorrected energy (eV/atom): -8.984
Space-group type: R-3m, No. 166
Relative energy among the computed polymorphs (meV per atom): 231



(4)
Entry from Alexandria: crystalline Sr4InGa2 at its relaxed geometry (GGA-PBE).

Unit cell a=9.658 b=9.658 c=9.658 alpha=33.62 beta=33.62 gamma=33.62
Fractional coordinates of all 7 atoms:
Sr 0.122 0.122 0.122
Sr 0.374 0.374 0.374
Sr 0.626 0.626 0.626
Sr 0.878 0.878 0.878
In 0.500 0.500 0.500
Ga 0.247 0.247 0.247
Ga 0.753 0.753 0.753

Total magnetization (μB per formula unit): 0.00
Energy relative to the elements (eV per atom): -0.298
Uncorrected energy (eV/atom): -2.515
Space-group type: R-3m, No. 166



(5)
Entry from Alexandria: crystalline AgP5 at its relaxed geometry (GGA-PBE).

Unit cell a=5.996 b=5.996 c=3.125 alpha=90.00 beta=90.00 gamma=120.00
Fractional coordinates of all 6 atoms:
Ag 0.000 0.000 0.000
P 0.000 0.613 0.500
P 0.333 0.667 0.000
P 0.387 0.387 0.500
P 0.613 0.000 0.500
P 0.667 0.333 0.000

Total magnetization (μB per formula unit): 0.00
Energy relative to the elements (eV per atom): 0.362
Uncorrected energy (eV/atom): -4.622
Space-group type: P-62m, No. 189
Relative energy among the computed polymorphs (meV per atom): 107



(6)
Entry from Alexandria: crystalline Cs2Rb3NaI6 at its relaxed geometry (GGA-PBE).

Unit cell a=9.177 b=9.177 c=9.115 alpha=99.76 beta=99.76 gamma=120.17
Fractional coordinates of all 12 atoms:
Cs 0.166 0.834 0.000
Cs 0.834 0.166 0.000
Rb 0.000 0.000 0.500
Rb 0.328 0.672 0.500
Rb 0.672 0.328 0.500
Na 0.500 0.500 0.000
I 0.111 0.418 0.753
I 0.284 0.284 0.243
I 0.418 0.111 0.753
I 0.582 0.889 0.247
I 0.716 0.716 0.757
I 0.889 0.582 0.247

Total magnetization (μB per formula unit): 0.00
Raw formation energy (eV per formula unit): -17.41
Uncorrected energy (eV/atom): -2.720
Space-group type: C2/m, No. 12



(7)
Entry from Alexandria: crystalline Ce2DyHo at its relaxed geometry (GGA-PBE).

Unit cell a=3.465 b=3.465 c=10.078 alpha=90.00 beta=90.00 gamma=90.00
Fractional coordinates of all 4 atoms:
Ce 0.000 0.000 0.250
Ce 0.000 0.000 0.750
Dy 0.500 0.500 0.000
Ho 0.500 0.500 0.500

Total magnetization (μB per formula unit): 1.50
Energy relative to the elements (eV per atom): 0.106
Uncorrected energy (eV/atom): -5.156
Space-group type: P4/mmm, No. 123
Relative energy among the computed polymorphs (meV per atom): 19



(8)
Entry from Alexandria: crystalline Cu3MoI at its relaxed geometry (GGA-PBE).

Unit cell a=4.811 b=4.811 c=4.811 alpha=90.00 beta=90.00 gamma=90.00
Fractional coordinates of all 5 atoms:
Cu 0.000 0.000 0.500
Cu 0.000 0.500 0.000
Cu 0.500 0.000 0.000
Mo 0.000 0.000 0.000
I 0.500 0.500 0.500

Total magnetization (μB per formula unit): 0.00
Raw formation energy (eV per formula unit): 7.16
Uncorrected energy (eV/atom): -3.503
Space-group type: Pm-3m, No. 221
Relative energy among the computed polymorphs (meV per atom): 0



(9)
Entry from Alexandria: crystalline SbAuI6 at its relaxed geometry (GGA-PBE).

Unit cell a=6.828 b=6.828 c=7.974 alpha=95.99 beta=95.99 gamma=86.81
Fractional coordinates of all 8 atoms:
Sb 0.000 0.000 0.000
Au 0.000 0.000 0.500
I 0.123 0.711 0.701
I 0.289 0.877 0.299
I 0.290 0.290 0.927
I 0.710 0.710 0.073
I 0.711 0.123 0.701
I 0.877 0.289 0.299

Total magnetization (μB per formula unit): 0.00
Raw formation energy (eV per formula unit): -1.24
Uncorrected energy (eV/atom): -2.243
Space-group type: C2/m, No. 12
Relative energy among the computed polymorphs (meV per atom): 0



(10)
Entry from Alexandria: crystalline InSbRuRh at its relaxed geometry (GGA-PBE).

Unit cell a=4.610 b=4.610 c=4.610 alpha=60.00 beta=60.00 gamma=60.00
Fractional coordinates of all 4 atoms:
In 0.000 0.000 0.000
Sb 0.500 0.500 0.500
Ru 0.250 0.250 0.250
Rh 0.750 0.750 0.750

Total magnetization (μB per formula unit): 0.88
Raw formation energy (eV per formula unit): -0.36
Uncorrected energy (eV/atom): -5.961
Space-group type: F-43m, No. 216



(11)
Entry from Alexandria: crystalline Na3B4C2 at its relaxed geometry (GGA-PBE).

Unit cell a=2.878 b=2.878 c=25.603 alpha=90.00 beta=90.00 gamma=120.00
Fractional coordinates of all 18 atoms:
Na 0.000 0.000 0.000
Na 0.000 0.000 0.165
Na 0.000 0.000 0.335
Na 0.000 0.000 0.500
Na 0.000 0.000 0.665
Na 0.000 0.000 0.835
B 0.333 0.667 0.082
B 0.333 0.667 0.250
B 0.333 0.667 0.418
B 0.333 0.667 0.750
B 0.667 0.333 0.250
B 0.667 0.333 0.582
B 0.667 0.333 0.750
B 0.667 0.333 0.918
C 0.333 0.667 0.582
C 0.333 0.667 0.918
C 0.667 0.333 0.082
C 0.667 0.333 0.418

Total magnetization (μB per formula unit): 0.00
Energy relative to the elements (eV per atom): 0.130
Uncorrected energy (eV/atom): -5.327
Space-group type: P6_3/mmc, No. 194
Relative energy among the computed polymorphs (meV per atom): 32



(12)
Entry from Alexandria: crystalline Nb2VSn at its relaxed geometry (GGA-PBE).

Unit cell a=4.027 b=4.027 c=4.403 alpha=90.00 beta=90.00 gamma=90.00
Fractional coordinates of all 4 atoms:
Nb 0.000 0.500 0.000
Nb 0.500 0.000 0.000
V 0.000 0.000 0.500
Sn 0.500 0.500 0.500

Total magnetization (μB per formula unit): 0.77
Energy relative to the elements (eV per atom): -0.053
Uncorrected energy (eV/atom): -8.368
Space-group type: P4/mmm, No. 123